Below is LiAlRh2 after structural relaxation, with properties calculated at the PBE-GGA level.

For the calculated formation energy, the calculation gives -445 meV/atom. The value obtained for the total magnetization is 0.00 μB/atom.

Cell: 2.9363 4.5901 4.0395 Å, 90.00 90.00 90.00°
Last column: nearest neighbours and their distance in Å.
Positions (direct):
1 Al 0.5000 0.0000 0.5000  4 Rh 2.50, 4 Li 2.72
2 Li 0.0000 0.5000 0.5000  4 Rh 2.50, 4 Al 2.72
3 Rh 0.0000 0.0000 0.0000  4 Al 2.50, 4 Rh 2.72
4 Rh 0.5000 0.5000 0.0000  4 Li 2.50, 4 Rh 2.72